Record 1
Ag2GePbS4, optimized geometry, DFT PBE; SG = Pmn2_1 (31); energy = -4.119 eV per atom; total moment = 0.0 μB/f.u.; ΔE_f (raw) = -0.30 eV/atom
1.0
-3.466 2.368 4.970
5.102 -1.378 4.215
3.487 8.281 -1.514
S Pb Ag Ge
8 2 4 2
Direct
0.850 0.800 0.500
0.350 0.200 0.000
0.886 0.333 0.202
0.406 0.137 0.500
0.886 0.333 0.798
0.386 0.667 0.702
0.906 0.863 0.000
0.386 0.667 0.298
0.473 0.805 0.000
0.973 0.195 0.500
0.000 0.700 0.753
0.500 0.300 0.747
0.000 0.700 0.247
0.500 0.300 0.253
0.500 0.815 0.500
0.000 0.185 0.000

***

Record 2
Y3CuPb, optimized geometry, DFT PBE; SG = Pm-3m (221); energy = -5.566 eV per atom; DFT formation energy = -0.13 eV/atom; total moment = 0.0 μB/f.u.; excess energy over the best structure of this formula in the dataset = 0 meV per atom
1.0
-2.643 3.827 2.532
-3.411 -3.593 1.869
3.069 -0.698 4.259
Y Pb Cu
3 1 1
Direct
0.000 0.500 0.000
0.500 0.000 0.000
0.000 0.000 0.500
0.500 0.500 0.500
0.000 0.000 0.000

***

Record 3
SiAsC2, optimized geometry, DFT PBE; SG = Amm2 (38); energy = -6.524 eV per atom; total moment = 0.0 μB/f.u.; ΔE_f (raw) = 0.61 eV/atom; excess energy over the best structure of this formula in the dataset = 55 meV per atom
1.0
3.143 0.000 0.000
0.000 4.824 0.000
0.000 0.000 8.854
Si As C
2 2 4
Direct
0.500 0.500 0.272
0.500 0.000 0.772
0.500 0.000 0.365
0.500 0.500 0.865
0.000 0.500 0.152
0.000 0.000 0.652
0.000 0.000 0.499
0.000 0.500 0.999

***

Record 4
ScOsCl2, optimized geometry, DFT PBE; SG = P2/m (10); energy = -5.397 eV per atom; total moment = 0.0 μB/f.u.; ΔE_f (raw) = -0.08 eV/atom; excess energy over the best structure of this formula in the dataset = 464 meV per atom
1.0
3.173 0.000 0.000
0.000 5.086 -0.030
0.000 3.484 4.070
Os Cl Sc
1 2 1
Direct
0.500 0.500 0.500
0.500 0.500 0.000
0.000 0.000 0.000
0.000 0.000 0.500